{"formula": "ErHfMoO6", "functional": "PBE+U", "state": "relaxed", "cell": [[5.374, 0.000, 0.000], [-2.687, 4.654, 0.000], [0.000, 0.000, 9.129]], "species": ["Er", "Er", "Hf", "Hf", "Mo", "Mo", "O", "O", "O", "O", "O", "O", "O", "O", "O", "O", "O", "O"], "fractional_positions": [[0.333, 0.667, 0.250], [0.667, 0.333, 0.750], [0.000, 0.000, 0.000], [0.000, 0.000, 0.500], [0.333, 0.667, 0.750], [0.667, 0.333, 0.250], [0.035, 0.345, 0.627], [0.035, 0.690, 0.873], [0.310, 0.345, 0.873], [0.310, 0.965, 0.627], [0.345, 0.035, 0.127], [0.345, 0.310, 0.373], [0.655, 0.690, 0.627], [0.655, 0.965, 0.873], [0.690, 0.035, 0.373], [0.690, 0.655, 0.127], [0.965, 0.310, 0.127], [0.965, 0.655, 0.373]], "magnetic_moment_mub_per_cell": 2.00, "total_energy_ev_per_atom": -8.407, "spacegroup": "No. 163"}